Below is a geometry-optimized KSmSeO structure, with properties calculated at the PBE-GGA level.

Results
Space group: R3m, No. 160
Size of the total moment, μB/cell: 0.0
Formation energy without anion corrections, meV per atom: -2088

POSCAR file:
```
KSmSeO
1.0
-1.619 -2.598 -2.400
2.045 -1.429 -2.985
2.505 -6.666 2.374
Se O K Sm
1 1 1 1
direct
0.737 0.737 0.789 Se
0.273 0.273 0.181 O
0.506 0.506 0.483 K
0.984 0.984 0.047 Sm
```